Entry 1:
The following is a DFT calculation (PBE) of Y5Ga2Ag2 after structural relaxation.

Values from the calculation:
E_form in eV/atom: -0.415
Fermi-level density of states in states/eV per cell: 18.10
Size of the total moment in μB per formula unit: 0.00

a b c (Å): 7.6066 7.6014 8.8594
angles (deg): 90.00 64.58 90.00
Last column: nearest neighbours and their distance in Å.
Fractional positions:
Ag  0.7872  0.0000  0.4257  7 Y 3.04-3.41
Ag  0.7128  0.5000  0.5743  7 Y 3.04-3.41
Ga  0.6196  0.1201  0.0000  1 Ga 2.58
Ga  0.8804  0.6201  0.0000  1 Ga 2.58
Y  0.5456  0.8244  0.2693  3 Ag 3.04-3.10, 3 Ga 3.06-3.17
Ga  0.3804  0.8799  0.0000  1 Ga 2.58
Y  0.4544  0.1756  0.7307  3 Ag 3.04-3.10, 3 Ga 3.06-3.17
Y  0.1850  0.1756  0.2693  3 Ag 3.04-3.10, 3 Ga 3.06-3.17
Ag  0.2872  0.5000  0.4257  7 Y 3.04-3.41
Y  0.8150  0.8244  0.7307  3 Ag 3.04-3.10, 3 Ga 3.06-3.17
Ga  0.1196  0.3799  0.0000  1 Ga 2.58
Y  0.3150  0.6756  0.7307  3 Ag 3.04-3.10, 3 Ga 3.06-3.17
Y  0.0000  0.0000  0.0000  4 Ga 3.03
Y  0.6850  0.3244  0.2693  3 Ag 3.04-3.10, 3 Ga 3.06-3.17
Y  0.9544  0.3244  0.7307  3 Ag 3.04-3.10, 3 Ga 3.06-3.17
Ag  0.2128  0.0000  0.5743  7 Y 3.04-3.41
Y  0.5000  0.5000  0.0000  4 Ga 3.03
Y  0.0456  0.6756  0.2693  3 Ag 3.04-3.10, 3 Ga 3.06-3.17

Entry 2:
The following is a DFT calculation (PBE) of YGa4Ag12 after structural relaxation.

Values from the calculation:
E_form in eV/atom: 0.226
Fermi-level density of states in states/eV per cell: 7.22
Size of the total moment in μB per formula unit: 0.00

a b c (Å): 7.8042 7.8042 7.8042
angles (deg): 109.47 109.47 109.47
Last column: nearest neighbours and their distance in Å.
Fractional positions:
Ag  0.5011  0.8461  0.6550  2 Ga 2.56, 2 Ag 2.77-2.79
Ag  0.6550  0.8089  0.1539  2 Ga 2.56, 2 Ag 2.77-2.79
Ag  0.8461  0.6550  0.5011  2 Ga 2.56, 2 Ag 2.77-2.79
Ag  0.8089  0.1539  0.6550  2 Ga 2.56, 2 Ag 2.77-2.79
Ag  0.6550  0.5011  0.8461  2 Ga 2.56, 2 Ag 2.77-2.79
Ag  0.4989  0.1539  0.3450  2 Ga 2.56, 2 Ag 2.77-2.79
Ag  0.1539  0.6550  0.8089  2 Ga 2.56, 2 Ag 2.77-2.79
Ga  0.0000  0.0000  0.5000  6 Ag 2.56
Ga  0.5000  0.0000  0.0000  6 Ag 2.56
Ag  0.1539  0.3450  0.4989  2 Ga 2.56, 2 Ag 2.77-2.79
Ag  0.8461  0.3450  0.1911  2 Ga 2.56, 2 Ag 2.77-2.79
Ag  0.1911  0.8461  0.3450  2 Ga 2.56, 2 Ag 2.77-2.79
Ag  0.3450  0.1911  0.8461  2 Ga 2.56, 2 Ag 2.77-2.79
Y  0.0000  0.0000  0.0000  12 Ag 3.40
Ga  0.5000  0.5000  0.5000  6 Ag 2.56
Ag  0.3450  0.4989  0.1539  2 Ga 2.56, 2 Ag 2.77-2.79
Ga  0.0000  0.5000  0.0000  6 Ag 2.56

Entry 3:
The following is a DFT calculation (PBE) of YGaAg2 after structural relaxation.

Values from the calculation:
E_form in eV/atom: 0.238
Fermi-level density of states in states/eV per cell: 2.55
Size of the total moment in μB per formula unit: 0.00

a b c (Å): 3.1127 3.1127 10.5448
angles (deg): 81.51 81.51 60.00
Last column: nearest neighbours and their distance in Å.
Fractional positions:
Ag  0.0949  0.0949  0.7152  3 Ga 2.87, 1 Y 2.96, 6 Ag 3.11
Ag  0.9051  0.9051  0.2848  3 Ga 2.87, 1 Y 2.96, 6 Ag 3.11
Y  0.0000  0.0000  0.0000  2 Ag 2.96, 6 Y 3.11
Ga  0.5000  0.5000  0.5000  6 Ag 2.87, 6 Ga 3.11

Entry 4:
The following is a DFT calculation (PBE) of Y4GaAg3 after structural relaxation.

Values from the calculation:
E_form in eV/atom: -0.402
Fermi-level density of states in states/eV per cell: 6.48
Size of the total moment in μB per formula unit: 0.00

a b c (Å): 5.1287 5.1287 8.9253
angles (deg): 73.30 73.30 60.00
Last column: nearest neighbours and their distance in Å.
Fractional positions:
Ga  0.0000  0.0000  0.0000  8 Y 3.13
Y  0.3740  0.3740  0.8781  3 Ga 3.13, 5 Ag 3.15-3.18
Ag  0.2494  0.2494  0.2518  8 Y 3.13-3.17
Ag  0.7506  0.7506  0.7482  8 Y 3.13-3.17
Y  0.1239  0.1239  0.6283  7 Ag 3.13-3.17, 1 Ga 3.13
Y  0.8761  0.8761  0.3717  7 Ag 3.13-3.17, 1 Ga 3.13
Y  0.6260  0.6260  0.1219  3 Ga 3.13, 5 Ag 3.15-3.18
Ag  0.5000  0.5000  0.5000  8 Y 3.15-3.18

Entry 5:
The following is a DFT calculation (PBE) of Y3Ga12Ag after structural relaxation.

Values from the calculation:
E_form in eV/atom: -0.379
Fermi-level density of states in states/eV per cell: 5.05
Size of the total moment in μB per formula unit: 0.00

a b c (Å): 4.2780 4.2780 16.8849
angles (deg): 90.00 90.00 90.00
Last column: nearest neighbours and their distance in Å.
Fractional positions:
Ga  0.5000  0.0000  0.1138  2 Ag 2.88, 8 Ga 2.88-3.19, 2 Y 3.07
Ga  0.5000  0.5000  0.0000  8 Ga 2.88, 4 Ag 3.02
Y  0.0000  0.0000  0.5000  12 Ga 3.02-3.04
Ag  0.0000  0.0000  0.0000  12 Ga 2.88-3.02
Ga  0.0000  0.5000  0.1138  8 Ga 2.88-3.19, 2 Ag 2.88, 2 Y 3.07
Ga  0.0000  0.5000  0.6278  8 Ga 2.92-3.04, 4 Y 3.04
Ga  0.5000  0.0000  0.8862  2 Ag 2.88, 8 Ga 2.88-3.19, 2 Y 3.07
Ga  0.0000  0.5000  0.3722  8 Ga 2.92-3.04, 4 Y 3.04
Y  0.0000  0.0000  0.7560  12 Ga 3.03-3.07
Ga  0.5000  0.0000  0.6278  8 Ga 2.92-3.04, 4 Y 3.04
Ga  0.5000  0.5000  0.5000  4 Y 3.02, 8 Ga 3.04
Ga  0.5000  0.5000  0.7458  8 Ga 2.92-3.19, 4 Y 3.03
Y  0.0000  0.0000  0.2440  12 Ga 3.03-3.07
Ga  0.5000  0.5000  0.2542  8 Ga 2.92-3.19, 4 Y 3.03
Ga  0.0000  0.5000  0.8862  8 Ga 2.88-3.19, 2 Ag 2.88, 2 Y 3.07
Ga  0.5000  0.0000  0.3722  8 Ga 2.92-3.04, 4 Y 3.04

Entry 6:
The following is a DFT calculation (PBE) of Y2Ga3Ag2 after structural relaxation.

Values from the calculation:
E_form in eV/atom: -0.443
Fermi-level density of states in states/eV per cell: 2.62
Size of the total moment in μB per formula unit: 0.00

a b c (Å): 4.4119 5.7950 6.6930
angles (deg): 112.49 90.00 112.37
Last column: nearest neighbours and their distance in Å.
Fractional positions:
Y  0.1486  0.2972  0.7722  4 Ga 3.05-3.25, 4 Ag 3.13-3.18
Ga  0.4059  0.8118  0.5696  2 Ga 2.55-2.63, 3 Ag 2.70-2.71
Ga  0.5941  0.1882  0.4304  2 Ga 2.55-2.63, 3 Ag 2.70-2.71
Y  0.8514  0.7028  0.2278  4 Ga 3.05-3.25, 4 Ag 3.13-3.18
Ga  0.5000  0.0000  0.0000  2 Ga 2.63, 4 Ag 2.82
Ag  0.1494  0.2988  0.2474  5 Ga 2.70-2.82
Ag  0.8506  0.7012  0.7526  5 Ga 2.70-2.82

Entry 7:
The following is a DFT calculation (PBE) of Y3GaAg2 after structural relaxation.

Values from the calculation:
E_form in eV/atom: -0.432
Fermi-level density of states in states/eV per cell: 3.50
Size of the total moment in μB per formula unit: 0.00

a b c (Å): 5.1280 5.1280 6.2964
angles (deg): 90.00 90.00 120.00
Last column: nearest neighbours and their distance in Å.
Fractional positions:
Y  0.0000  0.0000  0.5000  6 Ag 3.15, 2 Ga 3.15
Ga  0.0000  0.0000  0.0000  8 Y 3.13-3.15
Ag  0.3333  0.6667  0.6692  8 Y 3.11-3.18
Y  0.3333  0.6667  0.1635  5 Ag 3.11-3.18, 3 Ga 3.13
Ag  0.6667  0.3333  0.3308  8 Y 3.11-3.18
Y  0.6667  0.3333  0.8365  5 Ag 3.11-3.18, 3 Ga 3.13

Entry 8:
The following is a DFT calculation (PBE) of Y4Ga3Ag after structural relaxation.

Values from the calculation:
E_form in eV/atom: -0.544
Fermi-level density of states in states/eV per cell: 9.79
Size of the total moment in μB per formula unit: 0.00

a b c (Å): 5.0816 7.2413 10.1639
angles (deg): 90.00 90.00 90.00
Last column: nearest neighbours and their distance in Å.
Fractional positions:
Ga  0.0000  0.0000  0.5000  8 Y 3.11
Ga  0.4990  0.0000  0.2500  8 Y 3.10-3.11
Y  0.9993  0.2466  0.2500  6 Ga 3.10-3.13, 2 Ag 3.13
Y  0.0007  0.2466  0.7500  6 Ga 3.10-3.13, 2 Ag 3.13
Y  0.5000  0.2466  0.5000  6 Ga 3.11-3.13, 2 Ag 3.13
Y  0.5000  0.7534  0.0000  6 Ga 3.11-3.13, 2 Ag 3.13
Ga  0.5007  0.5000  0.7500  8 Y 3.13
Ag  0.0000  0.5000  0.0000  8 Y 3.13
Y  0.5000  0.2466  0.0000  6 Ga 3.11-3.13, 2 Ag 3.13
Y  0.0007  0.7534  0.7500  6 Ga 3.10-3.13, 2 Ag 3.13
Ga  0.5010  0.0000  0.7500  8 Y 3.10-3.11
Ga  0.4993  0.5000  0.2500  8 Y 3.13
Ga  0.0000  0.0000  0.0000  8 Y 3.11
Y  0.5000  0.7534  0.5000  6 Ga 3.11-3.13, 2 Ag 3.13
Y  0.9993  0.7534  0.2500  6 Ga 3.10-3.13, 2 Ag 3.13
Ag  0.0000  0.5000  0.5000  8 Y 3.13